Entry from Alexandria: a geometry-optimized LaGaPd3 structure (GGA-PBE).

## Properties
V, Å³/cell: 140.4
Calculated density, g/cm3: 6.2
DOS(E_F), states/eV/f.u.: 2.75
E above lowest polymorph, meV/atom: 1282

Unit cell a=5.1970 b=5.1970 c=5.1970 alpha=90.00 beta=90.00 gamma=90.00
Fractional positions:
La 0.0000 0.0000 0.0000
Ga 0.5000 0.5000 0.5000
Pd 0.0000 0.0000 0.5000
Pd 0.0000 0.5000 0.0000
Pd 0.5000 0.0000 0.0000